1.
Material: AcCeH2
Method: DFT, GGA-PBE
State: optimized geometry

The structure in extended XYZ format:
```
4
Lattice="1.879 1.085 6.075 -1.879 1.085 6.075 0.000 -2.170 6.075" Properties=species:S:1:pos:R:3 pbc="T T T"
Ac 0.000 0.000 0.000
Ce 0.000 0.000 9.112
H 0.000 0.000 4.347
H 0.000 0.000 13.877
```

uncorrected energy	-4.50	eV per atom

2.
Material: AcCeH
Method: DFT, GGA-PBE
State: optimized geometry

The structure in extended XYZ format:
```
6
Lattice="2.644 -2.685 0.000 2.644 2.685 0.000 -0.252 0.000 10.103" Properties=species:S:1:pos:R:3 pbc="T T T"
Ac 1.193 0.000 3.541
Ac 3.842 0.000 6.563
Ce 1.345 0.000 9.163
Ce 3.690 0.000 0.940
H 1.196 0.000 6.683
H 3.840 0.000 3.421
```

uncorrected energy	-4.60	eV per atom

3.
Material: AcCeH
Method: DFT, GGA-PBE
State: optimized geometry

The structure in extended XYZ format:
```
3
Lattice="3.781 0.000 0.000 -1.891 3.275 0.000 0.000 0.000 6.173" Properties=species:S:1:pos:R:3 pbc="T T T"
Ac 0.000 0.000 0.000
Ce 1.891 1.092 3.157
H 0.000 2.183 4.409
```

uncorrected energy	-4.54	eV per atom

4.
Material: AcCeNi2H6
Method: DFT, GGA-PBE
State: optimized geometry

The structure in extended XYZ format:
```
10
Lattice="2.322 1.341 6.379 -2.322 1.341 6.379 0.000 -2.682 6.379" Properties=species:S:1:pos:R:3 pbc="T T T"
Ac 0.000 0.000 0.000
Ce 0.000 0.000 9.568
Ni 0.000 0.000 4.447
Ni 0.000 0.000 14.689
H -1.069 -0.617 7.656
H 0.000 -1.234 11.479
H -1.069 0.617 11.479
H 1.069 -0.617 7.656
H 0.000 1.234 7.656
H 1.069 0.617 11.479
```

uncorrected energy	-4.53	eV per atom

5.
Material: Ac2Ce4H2Pb3
Method: DFT, GGA-PBE
State: optimized geometry

The structure in extended XYZ format:
```
11
Lattice="-2.435 2.435 13.542 2.435 -2.435 13.542 2.435 2.435 -13.542" Properties=species:S:1:pos:R:3 pbc="T T T"
Ac 0.000 0.000 5.422
Ac 0.000 0.000 21.661
Ce 2.435 0.000 2.190
Ce 2.435 0.000 11.351
Ce 0.000 2.435 2.190
Ce 0.000 2.435 11.351
H 0.000 0.000 2.706
H 0.000 0.000 24.377
Pb 0.000 0.000 8.966
Pb 0.000 0.000 13.542
Pb 0.000 0.000 18.117
```

uncorrected energy	-4.91	eV per atom

6.
Material: AcCeH6Rh2
Method: DFT, GGA-PBE
State: optimized geometry

The structure in extended XYZ format:
```
10
Lattice="2.399 1.385 6.140 -2.399 1.385 6.140 0.000 -2.770 6.140" Properties=species:S:1:pos:R:3 pbc="T T T"
Ac 0.000 0.000 0.000
Ce 0.000 0.000 9.209
H -1.211 -0.699 7.308
H 0.000 -1.398 11.111
H -1.211 0.699 11.111
H 1.211 -0.699 7.308
H 0.000 1.398 7.308
H 1.211 0.699 11.111
Rh 0.000 0.000 3.934
Rh 0.000 0.000 14.485
```

uncorrected energy	-4.94	eV per atom

7.
Material: Ac2Ce4Sn3H2
Method: DFT, GGA-PBE
State: optimized geometry

The structure in extended XYZ format:
```
11
Lattice="-2.419 2.419 13.299 2.419 -2.419 13.299 2.419 2.419 -13.299" Properties=species:S:1:pos:R:3 pbc="T T T"
Ac 0.000 0.000 5.322
Ac 0.000 0.000 21.276
Ce 2.419 0.000 2.128
Ce 2.419 0.000 11.171
Ce 0.000 2.419 2.128
Ce 0.000 2.419 11.171
Sn 0.000 0.000 8.837
Sn 0.000 0.000 13.299
Sn 0.000 0.000 17.761
H 0.000 0.000 2.628
H 0.000 0.000 23.970
```

uncorrected energy	-5.10	eV per atom

8.
Material: AcCe2Hf
Method: DFT, GGA-PBE
State: optimized geometry

The structure in extended XYZ format:
```
4
Lattice="1.702 0.983 12.163 -1.702 0.983 12.163 0.000 -1.965 12.163" Properties=species:S:1:pos:R:3 pbc="T T T"
Ac 0.000 0.000 0.000
Ce 0.000 0.000 3.421
Ce 0.000 0.000 33.068
Hf 0.000 0.000 18.244
```

uncorrected energy	-6.13	eV per atom

9.
Material: AcCe2Hf
Method: DFT, GGA-PBE
State: optimized geometry

The structure in extended XYZ format:
```
4
Lattice="3.472 0.000 0.000 0.000 3.472 0.000 0.000 0.000 10.045" Properties=species:S:1:pos:R:3 pbc="T T T"
Ac 0.000 0.000 0.000
Ce 1.736 1.736 2.785
Ce 1.736 1.736 7.260
Hf 0.000 0.000 5.023
```

uncorrected energy	-6.26	eV per atom

10.
Material: Ac2CeHfN4
Method: DFT, GGA-PBE
State: optimized geometry

The structure in extended XYZ format:
```
16
Lattice="-3.564 3.663 5.116 3.564 -3.663 5.116 3.564 3.663 -5.116" Properties=species:S:1:pos:R:3 pbc="T T T"
Ac 0.000 0.000 0.000
Ac -1.782 1.832 2.558
Ac 0.000 3.663 0.000
Ac 1.782 1.832 2.558
Ce 3.564 0.000 0.000
Ce 0.000 0.000 5.116
Hf 1.782 1.832 -2.558
Hf 1.782 -1.832 2.558
N 3.564 -0.294 2.480
N 3.564 3.370 -2.480
N 1.930 1.832 -0.283
N 5.197 1.832 -0.283
N -1.633 1.832 5.399
N 1.633 1.832 5.399
N 0.000 0.294 7.596
N 0.000 3.957 2.635
```

E_form (uncorrected)	-1.3000	eV/atom

11.
Material: AcCe2HfN4
Method: DFT, GGA-PBE
State: optimized geometry

The structure in extended XYZ format:
```
8
Lattice="6.082 0.000 0.000 0.000 3.499 0.000 -2.099 0.000 5.967" Properties=species:S:1:pos:R:3 pbc="T T T"
Ac 0.000 0.000 0.000
Ce 1.992 0.000 2.983
Ce 3.041 1.750 0.000
Hf -1.049 1.750 2.983
N -0.092 0.000 4.258
N 0.865 1.750 1.783
N 3.118 1.750 4.184
N 4.076 0.000 1.709
```

E_form (uncorrected)	-1.3733	eV/atom

12.
Material: Ac2CeHfO6
Method: DFT, GGA-PBE
State: optimized geometry

The structure in extended XYZ format:
```
10
Lattice="5.630 0.000 0.000 0.000 5.630 0.000 0.000 0.000 5.588" Properties=species:S:1:pos:R:3 pbc="T T T"
Ac 0.000 2.815 0.000
Ac 2.815 0.000 0.000
Ce 0.000 0.000 3.013
Hf 2.815 2.815 3.214
O 0.000 0.000 0.779
O 1.479 1.479 4.070
O 1.479 4.151 4.070
O 2.815 2.815 1.216
O 4.151 1.479 4.070
O 4.151 4.151 4.070
```

E_form (uncorrected)	-3.2097	eV/atom

13.
Material: Ac2CeHg3
Method: DFT, GGA-PBE
State: optimized geometry

The structure in extended XYZ format:
```
6
Lattice="3.970 0.000 0.000 0.000 3.970 0.000 0.000 0.000 11.992" Properties=species:S:1:pos:R:3 pbc="T T T"
Ac 0.000 0.000 2.075
Ac 0.000 0.000 9.917
Ce 0.000 0.000 5.996
Hg 1.985 1.985 0.000
Hg 1.985 1.985 4.189
Hg 1.985 1.985 7.803
```

uncorrected energy	-2.91	eV per atom

14.
Material: Ac2CeHg5
Method: DFT, GGA-PBE
State: optimized geometry

The structure in extended XYZ format:
```
8
Lattice="-2.758 2.758 7.708 2.758 -2.758 7.708 2.758 2.758 -7.708" Properties=species:S:1:pos:R:3 pbc="T T T"
Ac 0.000 0.000 3.566
Ac 0.000 0.000 11.849
Ce 0.000 0.000 7.708
Hg 0.000 0.000 0.000
Hg 2.758 0.000 1.747
Hg 2.758 0.000 5.960
Hg 0.000 2.758 1.747
Hg 0.000 2.758 5.960
```

uncorrected energy	-2.33	eV per atom

15.
Material: AcCeHg2
Method: DFT, GGA-PBE
State: optimized geometry

The structure in extended XYZ format:
```
4
Lattice="3.943 0.000 0.000 0.000 3.943 0.000 0.000 0.000 7.878" Properties=species:S:1:pos:R:3 pbc="T T T"
Ac 0.000 0.000 0.000
Ce 0.000 0.000 3.939
Hg 1.971 1.971 2.125
Hg 1.971 1.971 5.753
```

uncorrected energy	-3.03	eV per atom

16.
Material: AcCe2Hg6
Method: DFT, GGA-PBE
State: optimized geometry

The structure in extended XYZ format:
```
9
Lattice="-1.871 4.339 7.744 1.871 -4.339 7.744 1.871 4.339 -7.744" Properties=species:S:1:pos:R:3 pbc="T T T"
Ac 0.000 0.000 0.000
Ce 1.871 0.000 5.474
Ce 0.000 4.339 2.271
Hg 1.871 1.533 -2.688
Hg 1.871 2.859 0.000
Hg 1.871 1.533 2.688
Hg 0.000 2.805 5.056
Hg 0.000 1.480 7.744
Hg 0.000 2.805 10.433
```

uncorrected energy	-2.30	eV per atom

17.
Material: AcCeHg4
Method: DFT, GGA-PBE
State: optimized geometry

The structure in extended XYZ format:
```
6
Lattice="5.447 0.000 0.000 0.000 2.065 7.692 0.000 -2.065 7.692" Properties=species:S:1:pos:R:3 pbc="T T T"
Ac 0.000 0.000 0.000
Ce 2.723 0.000 12.139
Hg 0.000 0.000 4.993
Hg 0.000 0.000 10.332
Hg 2.723 0.000 1.964
Hg 2.723 0.000 6.998
```

uncorrected energy	-2.23	eV per atom

18.
Material: Ac2CeHg4
Method: DFT, GGA-PBE
State: optimized geometry

The structure in extended XYZ format:
```
7
Lattice="-2.837 2.837 7.136 2.837 -2.837 7.136 2.837 2.837 -7.136" Properties=species:S:1:pos:R:3 pbc="T T T"
Ac 0.000 0.000 3.194
Ac 0.000 0.000 11.078
Ce 0.000 0.000 7.136
Hg 2.837 0.000 1.536
Hg 2.837 0.000 5.600
Hg 0.000 2.837 1.536
Hg 0.000 2.837 5.600
```

uncorrected energy	-2.51	eV per atom

19.
Material: Ac2CeHg3
Method: DFT, GGA-PBE
State: optimized geometry

The structure in extended XYZ format:
```
12
Lattice="8.386 -3.362 0.000 8.386 3.362 0.000 -1.741 0.000 6.710" Properties=species:S:1:pos:R:3 pbc="T T T"
Ac 2.661 0.789 0.643
Ac 1.791 -0.789 3.998
Ac 13.240 0.789 2.712
Ac 12.370 -0.789 6.067
Ce 7.951 0.680 1.677
Ce 7.080 -0.680 5.032
Hg 7.080 2.648 5.032
Hg 4.975 0.832 3.050
Hg 4.105 -0.832 6.405
Hg 10.927 0.832 0.305
Hg 10.056 -0.832 3.660
Hg 7.951 -2.648 1.677
```

uncorrected energy	-2.82	eV per atom

20.
Material: AcCeHg4
Method: DFT, GGA-PBE
State: optimized geometry

The structure in extended XYZ format:
```
6
Lattice="0.000 4.346 4.346 4.346 0.000 4.346 4.346 4.346 0.000" Properties=species:S:1:pos:R:3 pbc="T T T"
Ac 0.000 0.000 0.000
Ce 6.518 6.518 6.518
Hg 3.263 3.263 3.263
Hg 5.429 5.429 3.263
Hg 5.429 3.263 5.429
Hg 3.263 5.429 5.429
```

uncorrected energy	-2.12	eV per atom

21.
Material: AcCeHg2
Method: DFT, GGA-PBE
State: optimized geometry

The structure in extended XYZ format:
```
4
Lattice="1.961 1.132 9.898 -1.961 1.132 9.898 0.000 -2.265 9.898" Properties=species:S:1:pos:R:3 pbc="T T T"
Ac 0.000 0.000 0.000
Ce 0.000 0.000 14.847
Hg 0.000 0.000 7.304
Hg 0.000 0.000 22.390
```

uncorrected energy	-2.87	eV per atom

22.
Material: Ac2CeHg4
Method: DFT, GGA-PBE
State: optimized geometry

The structure in extended XYZ format:
```
7
Lattice="-2.877 2.877 8.344 2.877 -2.877 8.344 2.877 2.877 -8.344" Properties=species:S:1:pos:R:3 pbc="T T T"
Ac 0.000 0.000 1.892
Ac 0.000 0.000 14.796
Ce 0.000 0.000 8.344
Hg 2.877 0.000 0.000
Hg 0.000 0.000 5.219
Hg 0.000 2.877 0.000
Hg 0.000 0.000 11.468
```

uncorrected energy	-2.22	eV per atom

23.
Material: Ac2CeHg6
Method: DFT, GGA-PBE
State: optimized geometry

The structure in extended XYZ format:
```
9
Lattice="8.882 0.000 0.000 -4.441 7.692 0.000 0.000 0.000 3.734" Properties=species:S:1:pos:R:3 pbc="T T T"
Ac 0.000 5.128 0.000
Ac 4.441 2.564 0.000
Ce 0.000 0.000 0.000
Hg -1.465 2.537 1.867
Hg -2.976 5.155 1.867
Hg 2.930 0.000 1.867
Hg 1.465 2.537 1.867
Hg 5.953 0.000 1.867
Hg 2.976 5.155 1.867
```

uncorrected energy	-2.19	eV per atom

24.
Material: Ac3CeHg6
Method: DFT, GGA-PBE
State: optimized geometry

The structure in extended XYZ format:
```
20
Lattice="9.903 0.000 0.000 0.000 5.459 0.000 -3.710 0.000 11.334" Properties=species:S:1:pos:R:3 pbc="T T T"
Ac -1.336 1.365 4.325
Ac 0.709 4.094 2.407
Ac -0.910 1.365 11.199
Ac 7.103 4.094 0.135
Ac 5.484 1.365 8.927
Ac 7.529 4.094 7.009
Ce 2.121 1.365 6.853
Ce 4.072 4.094 4.481
Hg -3.057 4.094 10.379
Hg -0.873 1.365 7.891
Hg 0.782 4.094 5.723
Hg 2.382 1.365 3.570
Hg 0.618 4.094 9.116
Hg 3.983 4.094 1.303
Hg 2.210 1.365 10.031
Hg 5.575 1.365 2.217
Hg 3.811 4.094 7.764
Hg 5.411 1.365 5.611
Hg 7.066 4.094 3.443
Hg 9.250 1.365 0.955
```

uncorrected energy	-2.40	eV per atom